<P>
Compound: HfCu2Ru2
Source: the Alexandria database
Functional: PBE
Structure: relaxed

## Properties
The value obtained for the volume is 77 Å³ per cell.

Cell lengths 3.377, 3.377, 7.153 Å; angles 76.35, 76.35, 90.00 degrees
Fractional positions:
Ru 0.396 0.396 0.208
Ru 0.604 0.604 0.792
Hf 0.000 0.000 0.000
Cu 0.750 0.250 0.500
Cu 0.250 0.750 0.500

=====

<Q>
Compound: HfCu2Ru2
Source: the Alexandria database
Functional: PBE
Structure: relaxed

## Properties
The value obtained for the volume is 149 Å³ per cell.

Cell lengths 7.062, 7.062, 2.996 Å; angles 90.00, 90.00, 90.00 degrees
Fractional positions:
Ru 0.374 0.874 0.000
Ru 0.874 0.626 0.000
Ru 0.626 0.126 0.000
Ru 0.126 0.374 0.000
Hf 0.000 0.000 0.000
Hf 0.500 0.500 0.000
Cu 0.170 0.670 0.500
Cu 0.670 0.830 0.500
Cu 0.830 0.330 0.500
Cu 0.330 0.170 0.500

=====

<R>
Compound: HfCu2Ru2
Source: the Alexandria database
Functional: PBE
Structure: relaxed

## Properties
The value obtained for the volume is 76 Å³ per cell.

Cell lengths 3.647, 3.647, 6.302 Å; angles 73.18, 73.18, 90.00 degrees
Fractional positions:
Ru 0.750 0.250 0.500
Ru 0.250 0.750 0.500
Hf 0.000 0.000 0.000
Cu 0.402 0.402 0.196
Cu 0.598 0.598 0.804

=====

<S>
Compound: HfCu2Ru2
Source: the Alexandria database
Functional: PBE
Structure: relaxed

## Properties
The value obtained for the volume is 146 Å³ per cell.

Cell lengths 6.743, 6.743, 3.220 Å; angles 90.00, 90.00, 90.00 degrees
Fractional positions:
Ru 0.173 0.673 0.500
Ru 0.673 0.827 0.500
Ru 0.827 0.327 0.500
Ru 0.327 0.173 0.500
Hf 0.000 0.000 0.000
Hf 0.500 0.500 0.000
Cu 0.375 0.875 0.000
Cu 0.875 0.625 0.000
Cu 0.625 0.125 0.000
Cu 0.125 0.375 0.000

=====

Which structure loses on stability? <R> does.